*P*
DFT (GGA-PBE) results for crystalline CeEuCo2 at its relaxed geometry.

abc: 5.941 5.941 5.941
angles: 42.07 42.07 42.07
Sites, in units of the cell vectors:
Ce: 0.000 0.000 0.000
Eu: 0.500 0.500 0.500
Co: 0.301 0.301 0.301
Co: 0.699 0.699 0.699

## Properties
Total magnetization = 7.00 μB per formula unit
Space group = R-3m (166)

*Q*
DFT (GGA-PBE) results for crystalline CeEuCo2 at its relaxed geometry.

abc: 3.373 3.373 6.942
angles: 90.00 90.00 90.00
Sites, in units of the cell vectors:
Ce: 0.000 0.000 0.000
Eu: 0.000 0.000 0.500
Co: 0.500 0.500 0.200
Co: 0.500 0.500 0.800

## Properties
Total magnetization = 6.43 μB per formula unit
Space group = P4/mmm (123)

Least stable of them? *Q*.